A plane-wave DFT calculation with GGA-PBE was carried out for an optimized crystal structure of NaAl2Au2.

abc: 4.4047 4.4047 10.5858
angles: 90.00 90.00 90.00
Atoms (fractional coordinates):
Al 0.0000 0.0000 0.5000
Na 0.0000 0.5000 0.7544
Au 0.0000 0.0000 0.0000
Al 0.5000 0.0000 0.8712
Au 0.5000 0.5000 0.0000
Al 0.0000 0.5000 0.1288
Au 0.5000 0.0000 0.6330
Al 0.5000 0.5000 0.5000
Na 0.5000 0.0000 0.2456
Au 0.0000 0.5000 0.3670

Values from the calculation:
SG   P4/nmm
Crystal system   tetragonal
ΔE to the lowest computed polymorph   0.000 eV/atom
Electronic total energy   -3.44 eV per atom
N(E_F)   0.5426 states/eV per atom
Energy of formation   -0.37 eV per atom

***

A plane-wave DFT calculation with GGA-PBE was carried out for an optimized crystal structure of Y4InW.

abc: 6.0599 6.0599 6.0599
angles: 60.00 60.00 60.00
Atoms (fractional coordinates):
Y 0.3733 0.3733 0.3733
Y 0.8801 0.3733 0.3733
Y 0.3733 0.8801 0.3733
W 0.0000 0.0000 0.0000
In 0.7500 0.7500 0.7500
Y 0.3733 0.3733 0.8801

Values from the calculation:
SG   F-43m
Crystal system   cubic
Electronic total energy   -6.14 eV per atom
N(E_F)   0.9021 states/eV per atom
Energy of formation   0.78 eV per atom

***

A plane-wave DFT calculation with GGA-PBE was carried out for an optimized crystal structure of Mg2AlCd3.

abc: 4.8007 7.3537 7.3880
angles: 90.00 90.00 78.47
Atoms (fractional coordinates):
Cd 0.5000 0.0000 0.2496
Al 0.6351 0.6755 0.0000
Cd 0.8446 0.3384 0.2407
Mg 0.0000 0.0000 0.0000
Mg 0.6572 0.6667 0.5000
Cd 0.1554 0.6616 0.7593
Mg 0.0000 0.0000 0.5000
Cd 0.5000 0.0000 0.7504
Cd 0.8446 0.3384 0.7593
Cd 0.1554 0.6616 0.2407
Mg 0.3428 0.3333 0.5000
Al 0.3649 0.3245 0.0000

Values from the calculation:
SG   P2/m
Crystal system   monoclinic
Electronic total energy   -1.60 eV per atom
N(E_F)   0.3577 states/eV per atom
Energy of formation   0.01 eV per atom

***

A plane-wave DFT calculation with GGA-PBE was carried out for an optimized crystal structure of Ba2Sr8Tl.

abc: 6.5050 7.9323 11.6210
angles: 90.61 106.25 90.00
Atoms (fractional coordinates):
Sr 0.3540 0.1269 0.7080
Sr 0.7729 0.3442 0.5458
Sr 0.5807 0.3852 0.1613
Sr 0.2271 0.6558 0.4542
Sr 0.4193 0.6148 0.8387
Ba 0.8382 0.8315 0.6764
Ba 0.1618 0.1685 0.3236
Sr 0.6460 0.8731 0.2920
Sr 0.9663 0.2427 0.9327
Tl 0.5000 0.0000 0.0000
Sr 0.0337 0.7573 0.0673

Values from the calculation:
SG   C2/m
Crystal system   monoclinic
ΔE to the lowest computed polymorph   0.016 eV/atom
Electronic total energy   -1.82 eV per atom
N(E_F)   1.2669 states/eV per atom
Energy of formation   -0.03 eV per atom

***

A plane-wave DFT calculation with GGA-PBE was carried out for an optimized crystal structure of MgZrSc.

abc: 3.7467 3.7467 10.1333
angles: 90.00 90.00 90.00
Atoms (fractional coordinates):
Zr 0.0000 0.5000 0.5685
Mg 0.0000 0.5000 0.9149
Zr 0.5000 0.0000 0.4315
Sc 0.0000 0.5000 0.2614
Sc 0.5000 0.0000 0.7386
Mg 0.5000 0.0000 0.0851

Values from the calculation:
SG   P4/nmm
Crystal system   tetragonal
ΔE to the lowest computed polymorph   0.064 eV/atom
Electronic total energy   -5.48 eV per atom
N(E_F)   1.1320 states/eV per atom
Energy of formation   0.01 eV per atom

***

A plane-wave DFT calculation with GGA-PBE was carried out for an optimized crystal structure of PmPuTc.

abc: 3.7231 4.6637 4.6637
angles: 120.00 90.00 90.00
Atoms (fractional coordinates):
Pu 0.1667 0.0000 0.0000
Pm 0.6667 0.3333 0.6667
Tc 0.1666 0.6667 0.3333

Values from the calculation:
SG   P-6m2
Crystal system   hexagonal
ΔE to the lowest computed polymorph   0.117 eV/atom
Electronic total energy   -9.67 eV per atom
N(E_F)   1.8942 states/eV per atom
Energy of formation   0.14 eV per atom

***

A plane-wave DFT calculation with GGA-PBE was carried out for an optimized crystal structure of AuCl4F.

abc: 6.4094 7.1273 8.6190
angles: 107.16 103.89 108.59
Atoms (fractional coordinates):
F 0.4068 0.6568 0.3136
Cl 0.3327 0.0730 0.6686
Cl 0.1641 0.4044 0.3314
F 0.5932 0.3432 0.6864
Cl 0.5840 0.2610 0.1321
Cl 0.4160 0.7390 0.8679
Au 0.1815 0.9315 0.8630
Cl 0.6673 0.9270 0.3314
Cl 0.9519 0.1288 0.8679
Cl 0.0481 0.8712 0.1321
Au 0.8185 0.0685 0.1370
Cl 0.8359 0.5956 0.6686

Values from the calculation:
SG   C2/c
Crystal system   monoclinic
Formation energy (no corrections)   -0.09 eV per atom
Electronic total energy   -2.18 eV per atom
N(E_F)   0.1579 states/eV per atom

***

A plane-wave DFT calculation with GGA-PBE was carried out for an optimized crystal structure of Ca3Cu3Ni2.

abc: 5.5345 7.5870 14.7470
angles: 90.00 90.00 90.00
Atoms (fractional coordinates):
Ca 0.6221 0.0343 0.8954
Cu 0.1011 0.1664 0.5358
Ca 0.3779 0.9657 0.3954
Ca 0.8779 0.5343 0.6046
Cu 0.3989 0.6664 0.5358
Cu 0.0909 0.1726 0.2500
Cu 0.1011 0.1664 0.9642
Ni 0.6221 0.6240 0.3932
Cu 0.5909 0.3274 0.7500
Ca 0.6221 0.0343 0.6046
Ca 0.1165 0.1740 0.7500
Ca 0.1221 0.4657 0.1046
Cu 0.8989 0.8336 0.0358
Ca 0.6165 0.3260 0.2500
Cu 0.9091 0.8274 0.7500
Cu 0.6011 0.3336 0.4642
Cu 0.6011 0.3336 0.0358
Ca 0.8779 0.5343 0.8954
Ni 0.1221 0.8760 0.6068
Ni 0.1221 0.8760 0.8932
Ca 0.3835 0.6740 0.7500
Ca 0.8835 0.8260 0.2500
Ni 0.3779 0.3760 0.8932
Cu 0.3989 0.6664 0.9642
Ni 0.8779 0.1240 0.1068
Ca 0.3779 0.9657 0.1046
Ni 0.6221 0.6240 0.1068
Cu 0.4091 0.6726 0.2500
Ni 0.8779 0.1240 0.3932
Ca 0.1221 0.4657 0.3954
Cu 0.8989 0.8336 0.4642
Ni 0.3779 0.3760 0.6068

Values from the calculation:
SG   Pnma
Crystal system   orthorhombic
Electronic total energy   -3.84 eV per atom
N(E_F)   0.4780 states/eV per atom
Energy of formation   -0.11 eV per atom

***

A plane-wave DFT calculation with GGA-PBE was carried out for an optimized crystal structure of Ce2TlCd6.

abc: 6.0905 6.0911 6.0911
angles: 95.30 95.31 95.31
Atoms (fractional coordinates):
Tl 0.0000 0.0000 0.0000
Ce 0.6453 0.6453 0.6453
Cd 0.8371 0.1628 0.5001
Cd 0.5000 0.8373 0.1627
Cd 0.8371 0.5001 0.1628
Cd 0.1629 0.4999 0.8372
Ce 0.3547 0.3547 0.3547
Cd 0.1629 0.8372 0.4999
Cd 0.5000 0.1627 0.8373

Values from the calculation:
SG   R-3m
Crystal system   trigonal
Electronic total energy   -2.37 eV per atom
N(E_F)   1.4052 states/eV per atom
Energy of formation   -0.18 eV per atom

***

A plane-wave DFT calculation with GGA-PBE was carried out for an optimized crystal structure of Nb2Zn2Fe.

abc: 6.4994 6.4994 3.6228
angles: 90.00 90.00 90.00
Atoms (fractional coordinates):
Nb 0.8275 0.3275 0.5000
Zn 0.3683 0.8683 0.0000
Zn 0.1317 0.3683 0.0000
Zn 0.8683 0.6317 0.0000
Fe 0.5000 0.5000 0.0000
Zn 0.6317 0.1317 0.0000
Nb 0.6725 0.8275 0.5000
Nb 0.3275 0.1725 0.5000
Fe 0.0000 0.0000 0.0000
Nb 0.1725 0.6725 0.5000

Values from the calculation:
SG   P4/mbm
Crystal system   tetragonal
Electronic total energy   -6.08 eV per atom
N(E_F)   0.8452 states/eV per atom
Energy of formation   0.15 eV per atom

***

A plane-wave DFT calculation with GGA-PBE was carried out for an optimized crystal structure of CsCd2AgSn.

abc: 5.5699 5.5699 5.4789
angles: 90.00 90.00 90.00
Atoms (fractional coordinates):
Cd 0.0000 0.5000 0.0000
Cd 0.5000 0.0000 0.0000
Ag 0.0000 0.0000 0.0000
Cs 0.5000 0.5000 0.5000
Sn 0.0000 0.0000 0.5000

Values from the calculation:
SG   P4/mmm
Crystal system   tetragonal
Electronic total energy   -1.81 eV per atom
N(E_F)   0.5537 states/eV per atom
Energy of formation   0.09 eV per atom

***

A plane-wave DFT calculation with GGA-PBE was carried out for an optimized crystal structure of YCuRe2.

abc: 3.1391 3.1391 7.0792
angles: 90.00 90.00 90.00
Atoms (fractional coordinates):
Re 0.0000 0.0000 0.0051
Y 0.0000 0.0000 0.5012
Re 0.5000 0.5000 0.1991
Cu 0.5000 0.5000 0.7946

Values from the calculation:
SG   P4mm
Crystal system   tetragonal
ΔE to the lowest computed polymorph   0.000 eV/atom
Electronic total energy   -8.78 eV per atom
N(E_F)   0.4631 states/eV per atom
Energy of formation   0.08 eV per atom

***

A plane-wave DFT calculation with GGA-PBE was carried out for an optimized crystal structure of PmY5TmSc2.

abc: 5.6209 11.0944 9.3623
angles: 90.00 90.00 104.67
Atoms (fractional coordinates):
Tm 0.5979 0.1957 0.9202
Y 0.0103 0.0206 0.0131
Y 0.6108 0.2215 0.5471
Sc 0.1345 0.2690 0.7022
Y 0.7356 0.4712 0.8361
Y 0.3069 0.6139 0.7156
Tm 0.4021 0.8043 0.4202
Sc 0.1129 0.2259 0.3237
Y 0.3892 0.7785 0.0471
Y 0.4692 0.9384 0.7480
Pm 0.8167 0.6333 0.5179
Sc 0.8871 0.7741 0.8237
Pm 0.1833 0.3667 0.0179
Y 0.6931 0.3861 0.2156
Y 0.9897 0.9794 0.5131
Y 0.5308 0.0616 0.2480
Sc 0.8655 0.7310 0.2022
Y 0.2644 0.5288 0.3361

Values from the calculation:
SG   Cmc2_1
Crystal system   orthorhombic
Electronic total energy   -5.86 eV per atom
N(E_F)   1.5800 states/eV per atom
Energy of formation   0.17 eV per atom

***

A plane-wave DFT calculation with GGA-PBE was carried out for an optimized crystal structure of CrIrAu.

abc: 4.9943 4.9943 4.9943
angles: 146.99 137.47 54.87
Atoms (fractional coordinates):
Ir 0.6876 0.6876 0.0000
Cr 0.3150 0.3150 0.0000
Au 0.9974 0.9974 0.0000

Values from the calculation:
SG   Imm2
Crystal system   orthorhombic
ΔE to the lowest computed polymorph   0.039 eV/atom
Electronic total energy   -7.12 eV per atom
N(E_F)   0.8211 states/eV per atom
Energy of formation   0.13 eV per atom

***

A plane-wave DFT calculation with GGA-PBE was carried out for an optimized crystal structure of Ca2TbPmTe4.

abc: 4.4209 7.6557 7.8316
angles: 109.06 90.00 90.00
Atoms (fractional coordinates):
Te 0.0000 0.7458 0.2483
Ca 0.0000 0.5000 0.5000
Pm 0.0000 0.0000 0.0000
Te 0.5000 0.7455 0.7490
Tb 0.5000 0.5000 0.0000
Te 0.5000 0.2545 0.2510
Ca 0.5000 0.0000 0.5000
Te 0.0000 0.2542 0.7517

Values from the calculation:
SG   P2/m
Crystal system   monoclinic
Formation energy (no corrections)   -1.49 eV per atom
Electronic total energy   -4.73 eV per atom
N(E_F)   0.4598 states/eV per atom

***

A plane-wave DFT calculation with GGA-PBE was carried out for an optimized crystal structure of V2GaAs2.

abc: 6.8276 6.8276 3.3144
angles: 90.00 90.00 90.00
Atoms (fractional coordinates):
Ga 0.0000 0.0000 0.0000
V 0.8580 0.6420 0.0000
As 0.1514 0.6514 0.5000
As 0.8486 0.3486 0.5000
As 0.3486 0.1514 0.5000
V 0.6420 0.1420 0.0000
V 0.3580 0.8580 0.0000
Ga 0.5000 0.5000 0.0000
V 0.1420 0.3580 0.0000
As 0.6514 0.8486 0.5000

Values from the calculation:
SG   P4/mbm
Crystal system   tetragonal
Electronic total energy   -6.35 eV per atom
N(E_F)   0.4599 states/eV per atom
Energy of formation   -0.24 eV per atom

***

A plane-wave DFT calculation with GGA-PBE was carried out for an optimized crystal structure of La4As2I.

abc: 4.3120 4.3120 14.9127
angles: 81.69 81.69 60.00
Atoms (fractional coordinates):
La 0.7199 0.7199 0.8402
La 0.1284 0.1284 0.6148
La 0.2801 0.2801 0.1598
La 0.8716 0.8716 0.3852
As 0.5767 0.5767 0.2699
I 0.0000 0.0000 0.0000
As 0.4233 0.4233 0.7301

Values from the calculation:
SG   R-3m
Crystal system   trigonal
Formation energy (no corrections)   -1.19 eV per atom
Electronic total energy   -5.55 eV per atom
N(E_F)   0.7954 states/eV per atom

***

A plane-wave DFT calculation with GGA-PBE was carried out for an optimized crystal structure of Na2SrMnSi.

abc: 5.4432 4.6072 5.4432
angles: 90.00 90.00 90.00
Atoms (fractional coordinates):
Na 0.0000 0.0000 0.5000
Na 0.5000 0.0000 0.0000
Mn 0.0000 0.5000 0.0000
Si 0.0000 0.0000 0.0000
Sr 0.5000 0.5000 0.5000

Values from the calculation:
SG   P4/mmm
Crystal system   tetragonal
Formation energy (no corrections)   0.54 eV per atom
Electronic total energy   -3.24 eV per atom
N(E_F)   1.0302 states/eV per atom

***

A plane-wave DFT calculation with GGA-PBE was carried out for an optimized crystal structure of SmTm4Al2.

abc: 5.5698 5.5698 7.4716
angles: 111.88 111.88 90.00
Atoms (fractional coordinates):
Tm 0.5000 0.0000 0.0000
Tm 0.0000 0.5000 0.0000
Sm 0.0000 0.0000 0.0000
Al 0.6160 0.6160 0.2321
Tm 0.2500 0.7500 0.5000
Tm 0.7500 0.2500 0.5000
Al 0.3840 0.3840 0.7679

Values from the calculation:
SG   I4/mmm
Crystal system   tetragonal
ΔE to the lowest computed polymorph   0.349 eV/atom
Electronic total energy   -4.00 eV per atom
N(E_F)   1.2090 states/eV per atom
Energy of formation   0.30 eV per atom

***

A plane-wave DFT calculation with GGA-PBE was carried out for an optimized crystal structure of KSi.

abc: 6.4110 6.4110 5.6792
angles: 63.72 63.72 35.17
Atoms (fractional coordinates):
Si 0.5639 0.5639 0.3532
Si 0.1861 0.1861 0.2302
K 0.9657 0.9657 0.9510
K 0.7843 0.7843 0.6324

Values from the calculation:
SG   Imma
Crystal system   orthorhombic
ΔE to the lowest computed polymorph   0.107 eV/atom
Formation energy (no corrections)   0.03 eV per atom
Electronic total energy   -3.23 eV per atom
N(E_F)   0.5801 states/eV per atom

***

A plane-wave DFT calculation with GGA-PBE was carried out for an optimized crystal structure of Pm3Cd2Ag9.

abc: 4.6790 8.7028 8.7028
angles: 68.83 74.41 74.41
Atoms (fractional coordinates):
Pm 0.2909 0.7091 0.7091
Ag 0.3388 0.2986 0.0239
Cd 0.5000 0.3182 0.6818
Ag 0.8641 0.8505 0.4213
Ag 0.1359 0.1495 0.5787
Cd 0.5000 0.6818 0.3182
Ag 0.3388 0.0239 0.2986
Pm 0.0000 0.0000 0.0000
Ag 0.1359 0.5787 0.1495
Ag 0.6612 0.7014 0.9761
Ag 0.0000 0.5000 0.5000
Ag 0.8641 0.4213 0.8505
Pm 0.7091 0.2909 0.2909
Ag 0.6612 0.9761 0.7014

Values from the calculation:
SG   Immm
Crystal system   orthorhombic
Electronic total energy   -3.17 eV per atom
N(E_F)   0.5922 states/eV per atom
Energy of formation   -0.19 eV per atom

***

A plane-wave DFT calculation with GGA-PBE was carried out for an optimized crystal structure of Sr2In3Sn2.

abc: 4.7407 6.4322 7.9253
angles: 106.50 90.00 111.62
Atoms (fractional coordinates):
Sn 0.1637 0.3274 0.2454
In 0.3950 0.7900 0.5672
Sr 0.8632 0.7264 0.2177
In 0.6050 0.2100 0.4328
Sr 0.1368 0.2736 0.7823
In 0.5000 0.0000 0.0000
Sn 0.8363 0.6726 0.7546

Values from the calculation:
SG   C2/m
Crystal system   monoclinic
ΔE to the lowest computed polymorph   0.000 eV/atom
Electronic total energy   -3.21 eV per atom
N(E_F)   0.5394 states/eV per atom
Energy of formation   -0.41 eV per atom

***

A plane-wave DFT calculation with GGA-PBE was carried out for an optimized crystal structure of AcPm2Zn6.

abc: 3.7129 7.9856 7.9840
angles: 120.01 89.99 90.00
Atoms (fractional coordinates):
Zn 0.4998 0.6597 0.6599
Zn 0.4998 0.0002 0.6599
Zn 0.5000 0.6597 0.0000
Pm 0.0000 0.3332 0.6664
Zn 0.5000 0.3403 0.0000
Pm 0.0000 0.6668 0.3336
Zn 0.5002 0.9998 0.3401
Zn 0.5002 0.3403 0.3401
Ac 0.0000 0.0000 0.0000

Values from the calculation:
SG   P6/mmm
Crystal system   hexagonal
Electronic total energy   -2.69 eV per atom
N(E_F)   0.9403 states/eV per atom
Energy of formation   -0.32 eV per atom